A geometry-optimized YSc2Hg structure. Source: the Alexandria database, functional PBE.

```
YSc2Hg
1.0
3.458 0.000 0.000
0.000 3.458 0.000
0.000 0.000 8.451
Y Sc Hg
1 2 1
direct
0.000 0.000 0.514
0.000 0.000 0.984
0.500 0.500 0.231
0.500 0.500 0.771
```

calculated formation energy = -0.201 eV/atom
space group = P4mm (99)

A geometry-optimized YScAgF2 structure. Source: the Alexandria database, functional PBE.

```
YScAgF2
1.0
-3.721 -1.920 0.779
3.470 -5.934 1.949
0.123 1.393 4.023
Y Sc Ag F
1 1 1 2
direct
0.000 0.000 0.000
0.000 0.500 0.000
0.500 0.500 0.500
0.000 0.000 0.500
0.500 0.000 0.000
```

formation energy without anion corrections = -1.728 eV/atom
space group = P4/mmm (123)

A geometry-optimized NaAcZnGe structure. Source: the Alexandria database, functional PBE.

```
NaAcZnGe
1.0
5.311 0.000 0.000
2.656 4.600 0.000
2.656 1.533 4.337
Zn Ac Ge Na
1 1 1 1
direct
0.750 0.750 0.750
0.000 0.000 0.000
0.250 0.250 0.250
0.500 0.500 0.500
```

calculated formation energy = -0.293 eV/atom
space group = F-43m (216)

A geometry-optimized NdEr5 structure. Source: the Alexandria database, functional PBE.

```
NdEr5
1.0
-2.637 -3.952 1.573
2.264 0.259 4.447
-6.521 4.452 0.254
Nd Er
1 5
direct
0.000 0.000 0.000
0.500 0.833 0.665
0.000 0.668 0.336
0.500 0.500 0.000
0.000 0.332 0.664
0.500 0.167 0.335
```

calculated formation energy = 0.024 eV/atom
space group = Cmmm (65)

A geometry-optimized Li3YW structure. Source: the Alexandria database, functional PBE.

```
Li3YW
1.0
-2.951 2.863 -1.674
-1.089 -2.952 -3.131
-3.133 -1.671 2.665
Y W Li
1 1 3
direct
0.000 0.000 0.000
0.500 0.500 0.500
0.000 0.500 0.000
0.000 0.000 0.500
0.500 0.000 0.000
```

calculated formation energy = 1.862 eV/atom
space group = Pm-3m (221)

A geometry-optimized Sr2TbTe3 structure. Source: the Alexandria database, functional PBE.

```
Sr2TbTe3
1.0
7.842 0.043 -1.454
-2.993 7.248 -1.454
-0.025 -0.037 14.506
Sr Tb Te
8 4 12
direct
0.998 0.498 0.996
0.418 0.418 0.837
0.832 0.332 0.663
0.252 0.252 0.504
0.748 0.748 0.496
0.668 0.168 0.337
0.582 0.582 0.163
0.502 0.002 0.004
0.917 0.917 0.833
0.333 0.833 0.667
0.167 0.667 0.333
0.083 0.083 0.167
0.165 0.679 0.828
0.663 0.149 0.828
0.085 0.071 0.672
0.587 0.601 0.672
0.016 0.516 0.500
0.484 0.984 0.500
0.399 0.413 0.328
0.929 0.915 0.328
0.851 0.337 0.172
0.321 0.835 0.172
0.234 0.234 0.000
0.766 0.766 0.000
```

formation energy without anion corrections = -1.571 eV/atom
space group = Fddd (70)

A geometry-optimized ZrFeRh4 structure. Source: the Alexandria database, functional PBE.

```
ZrFeRh4
1.0
0.000 3.630 3.630
3.630 0.000 3.630
3.630 3.630 0.000
Zr Fe Rh
1 1 4
direct
0.750 0.750 0.750
0.000 0.000 0.000
0.876 0.375 0.375
0.375 0.375 0.876
0.375 0.876 0.375
0.375 0.375 0.375
```

calculated formation energy = -0.194 eV/atom
space group = F-43m (216)

A geometry-optimized K5PaS5 structure. Source: the Alexandria database, functional PBE.

```
K5PaS5
1.0
5.902 0.000 0.000
-2.951 7.298 -0.018
0.000 -2.755 8.192
K Pa S
5 1 5
direct
0.696 0.391 0.315
0.678 0.356 0.854
0.000 0.000 0.500
0.322 0.644 0.146
0.304 0.609 0.685
0.000 0.000 0.000
0.870 0.739 0.149
0.861 0.723 0.712
0.500 0.000 0.000
0.139 0.277 0.288
0.130 0.261 0.851
```

formation energy without anion corrections = -1.366 eV/atom
space group = C2/m (12)

A geometry-optimized KHgRhF6 structure. Source: the Alexandria database, functional PBE.

```
KHgRhF6
1.0
-0.242 -3.969 -6.235
5.843 -4.453 2.608
-6.461 0.773 4.145
K Hg Rh F
2 2 2 12
direct
0.883 0.633 0.767
0.117 0.367 0.233
0.500 0.000 0.500
0.000 0.000 0.500
0.500 0.500 0.000
0.500 0.000 0.000
0.455 0.705 0.911
0.867 0.117 0.735
0.821 0.118 0.250
0.429 0.633 0.250
0.429 0.118 0.250
0.821 0.633 0.250
0.545 0.295 0.089
0.133 0.883 0.265
0.179 0.882 0.750
0.571 0.367 0.750
0.571 0.882 0.750
0.179 0.367 0.750
```

formation energy without anion corrections = -1.785 eV/atom
space group = Imma (74)

A geometry-optimized Mg2ScMn structure. Source: the Alexandria database, functional PBE.

```
Mg2ScMn
1.0
5.396 -0.004 0.014
4.485 3.000 0.014
1.097 0.333 5.011
Mg Mn Sc
2 1 1
direct
0.014 0.014 0.985
0.486 0.486 0.515
0.750 0.750 0.750
0.250 0.250 0.250
```

calculated formation energy = 0.147 eV/atom
space group = C2/m (12)

A geometry-optimized KLiAgSb2 structure. Source: the Alexandria database, functional PBE.

```
KLiAgSb2
1.0
-0.033 -4.484 1.803
1.918 1.643 4.121
-6.311 2.321 -0.823
K Li Ag Sb
1 1 1 2
direct
0.000 0.000 0.000
0.750 0.250 0.500
0.250 0.750 0.500
0.621 0.621 0.243
0.379 0.379 0.757
```

formation energy without anion corrections = -0.359 eV/atom
space group = I-4m2 (119)

A geometry-optimized NdRe4Se7 structure. Source: the Alexandria database, functional PBE.

```
NdRe4Se7
1.0
6.453 0.737 0.000
0.625 4.836 0.000
0.000 0.000 17.397
Nd Re Se
2 8 14
direct
0.316 0.760 0.500
0.877 0.153 0.000
0.733 0.625 0.855
0.058 0.674 0.237
0.442 0.334 0.264
0.127 0.351 0.646
0.127 0.351 0.354
0.733 0.625 0.145
0.058 0.674 0.763
0.442 0.334 0.736
0.088 0.617 0.092
0.498 0.221 0.405
0.561 0.199 0.875
0.008 0.876 0.626
0.008 0.876 0.374
0.561 0.199 0.125
0.409 0.834 0.764
0.855 0.270 0.749
0.855 0.270 0.251
0.409 0.834 0.236
0.572 0.734 0.000
0.987 0.352 0.500
0.088 0.617 0.908
0.498 0.221 0.595
```

formation energy without anion corrections = -0.143 eV/atom
space group = Pm (6)

A geometry-optimized TcSeCl structure. Source: the Alexandria database, functional PBE.

```
TcSeCl
1.0
-0.436 1.969 -3.193
-2.846 -0.245 2.471
2.001 4.980 2.798
Cl Se Tc
1 1 1
direct
0.000 0.000 0.888
0.667 0.333 0.478
0.333 0.667 0.634
```

formation energy without anion corrections = -0.176 eV/atom
space group = P3m1 (156)

A geometry-optimized TiVMo structure. Source: the Alexandria database, functional PBE.

```
TiVMo
1.0
-0.959 1.007 2.403
2.429 -2.891 2.181
1.638 3.918 -0.988
Mo Ti V
1 1 1
direct
0.318 0.667 0.333
0.643 0.333 0.667
0.039 0.000 0.000
```

calculated formation energy = -0.077 eV/atom
space group = P3m1 (156)

A geometry-optimized RbFe3C structure. Source: the Alexandria database, functional PBE.

```
RbFe3C
1.0
-4.003 1.820 1.410
0.507 -2.062 4.100
2.246 3.709 1.588
C Fe Rb
1 3 1
direct
0.500 0.500 0.500
0.000 0.500 0.000
0.000 0.000 0.500
0.500 0.000 0.000
0.000 0.000 0.000
```

calculated formation energy = 3.792 eV/atom
space group = Pm-3m (221)

A geometry-optimized Ac2Mg3Ag2 structure. Source: the Alexandria database, functional PBE.

```
Ac2Mg3Ag2
1.0
-2.801 -2.391 2.618
5.701 -2.155 0.232
0.998 5.163 5.782
Ac Mg Ag
2 3 2
direct
0.629 0.258 0.341
0.371 0.742 0.659
0.325 0.649 0.128
0.000 0.000 0.000
0.675 0.351 0.872
0.084 0.168 0.662
0.916 0.832 0.338
```

calculated formation energy = -0.185 eV/atom
space group = C2/m (12)

A geometry-optimized Tm2ThPt9 structure. Source: the Alexandria database, functional PBE.

```
Tm2ThPt9
1.0
4.144 0.000 0.000
0.000 4.144 0.000
0.000 0.000 12.388
Tm Th Pt
2 1 9
direct
0.000 0.000 0.338
0.000 0.000 0.662
0.000 0.000 0.000
0.500 0.500 0.000
0.500 0.500 0.337
0.500 0.500 0.663
0.500 0.000 0.173
0.500 0.000 0.500
0.500 0.000 0.827
0.000 0.500 0.173
0.000 0.500 0.500
0.000 0.500 0.827
```

calculated formation energy = -1.110 eV/atom
space group = P4/mmm (123)

A geometry-optimized ReTc2B4 structure. Source: the Alexandria database, functional PBE.

```
ReTc2B4
1.0
3.984 0.000 0.000
0.000 3.984 0.000
1.992 1.992 5.459
Re B Tc
1 4 2
direct
0.000 0.000 0.000
0.197 0.197 0.606
0.803 0.803 0.394
0.000 0.500 0.000
0.500 0.000 0.000
0.377 0.377 0.246
0.623 0.623 0.754
```

calculated formation energy = 0.870 eV/atom
space group = I4/mmm (139)

A geometry-optimized Sr2CdAg3Bi4 structure. Source: the Alexandria database, functional PBE.

```
Sr2CdAg3Bi4
1.0
4.905 0.000 0.000
0.000 4.905 0.000
0.000 0.000 12.462
Sr Cd Ag Bi
2 1 3 4
direct
0.500 0.000 0.243
0.000 0.500 0.757
0.500 0.500 0.500
0.000 0.000 0.500
0.500 0.000 0.864
0.000 0.500 0.136
0.500 0.500 0.000
0.000 0.000 0.000
0.500 0.000 0.641
0.000 0.500 0.359
```

calculated formation energy = -0.333 eV/atom
space group = P-4m2 (115)

A geometry-optimized CaAgBiAu structure. Source: the Alexandria database, functional PBE.

```
CaAgBiAu
1.0
5.131 0.000 0.000
2.566 4.444 0.000
2.566 1.481 4.190
Ca Au Bi Ag
1 1 1 1
direct
0.500 0.500 0.500
0.750 0.750 0.750
0.000 0.000 0.000
0.250 0.250 0.250
```

calculated formation energy = -0.393 eV/atom
space group = F-43m (216)

A geometry-optimized Ac2Tl2Hg3 structure. Source: the Alexandria database, functional PBE.

```
Ac2Tl2Hg3
1.0
3.824 0.000 0.000
0.000 4.766 0.000
0.000 -2.383 12.069
Ac Tl Hg
2 2 3
direct
0.000 0.855 0.711
0.000 0.145 0.289
0.500 0.712 0.424
0.500 0.288 0.576
0.500 0.565 0.131
0.500 0.435 0.869
0.000 0.000 0.000
```

calculated formation energy = -0.247 eV/atom
space group = Cmmm (65)

A geometry-optimized MoAsN2 structure. Source: the Alexandria database, functional PBE.

```
MoAsN2
1.0
1.702 0.000 6.569
-0.851 1.474 6.569
-0.851 -1.474 6.569
Mo As N
1 1 2
direct
0.500 0.500 0.500
0.000 0.000 0.000
0.895 0.895 0.895
0.105 0.105 0.105
```

formation energy without anion corrections = 0.091 eV/atom
space group = R-3m (166)

A geometry-optimized Li4TlGa structure. Source: the Alexandria database, functional PBE.

```
Li4TlGa
1.0
5.357 0.000 0.000
2.678 4.639 0.000
2.678 1.546 4.374
Tl Ga Li
1 1 4
direct
0.250 0.250 0.250
0.000 0.000 0.000
0.625 0.625 0.124
0.625 0.124 0.625
0.625 0.625 0.625
0.124 0.625 0.625
```

calculated formation energy = -0.069 eV/atom
space group = F-43m (216)

A geometry-optimized RbBIr2 structure. Source: the Alexandria database, functional PBE.

```
RbBIr2
1.0
5.039 0.000 0.000
0.000 5.039 0.000
2.519 2.519 6.988
B Ir Rb
2 4 2
direct
0.500 0.500 0.000
0.250 0.750 0.500
0.375 0.125 0.250
0.375 0.625 0.250
0.375 0.625 0.750
0.875 0.625 0.750
0.000 0.000 0.000
0.750 0.250 0.500
```

calculated formation energy = 0.635 eV/atom
space group = I4_1/amd (141)

A geometry-optimized Ag4PtAu structure. Source: the Alexandria database, functional PBE.

```
Ag4PtAu
1.0
-4.099 -1.795 2.964
-1.011 2.197 4.791
-4.358 3.057 0.685
Ag Pt Au
4 1 1
direct
0.875 0.375 0.375
0.375 0.375 0.875
0.375 0.875 0.375
0.375 0.375 0.375
0.000 0.000 0.000
0.750 0.750 0.750
```

calculated formation energy = 0.273 eV/atom
space group = F-43m (216)